1.
{
  "formula": "Sc3Ag2Pt",
  "functional": "PBE-GGA",
  "state": "optimized geometry",
  "lattice_angstrom": [[3.373, 0.000, 0.000], [0.000, 3.373, 0.000], [0.000, 0.000, 10.249]],
  "species": ["Sc", "Sc", "Sc", "Ag", "Ag", "Pt"],
  "fractional_positions": [[0.000, 0.000, 0.000], [0.000, 0.000, 0.345], [0.000, 0.000, 0.655], [0.500, 0.500, 0.171], [0.500, 0.500, 0.829], [0.500, 0.500, 0.500]],
  "de_polymorph_mev_per_atom": 11,
  "formation_energy_ev_per_atom": -0.6059,
  "e_tot_ev_per_atom": -5.729
}



2.
{
  "formula": "LaPu2Al2Si2",
  "functional": "PBE-GGA",
  "state": "optimized geometry",
  "lattice_angstrom": [[2.045, 1.180, 9.324], [-2.045, 1.180, 9.324], [0.000, -2.361, 9.324]],
  "species": ["La", "Pu", "Pu", "Al", "Al", "Si", "Si"],
  "fractional_positions": [[0.000, 0.000, 0.000], [0.152, 0.152, 0.152], [0.848, 0.848, 0.848], [0.417, 0.417, 0.417], [0.583, 0.583, 0.583], [0.258, 0.258, 0.258], [0.742, 0.742, 0.742]],
  "formation_energy_uncorrected_mev_per_atom": -221,
  "e_tot_ev_per_atom": -7.639
}



3.
{
  "formula": "TiS3N",
  "functional": "PBE-GGA",
  "state": "optimized geometry",
  "lattice_angstrom": [[4.692, 0.000, 0.000], [0.000, 4.692, 0.000], [0.000, 0.000, 4.692]],
  "species": ["Ti", "S", "S", "S", "N"],
  "fractional_positions": [[0.000, 0.000, 0.000], [0.000, 0.000, 0.500], [0.000, 0.500, 0.000], [0.500, 0.000, 0.000], [0.500, 0.500, 0.500]],
  "formation_energy_uncorrected_mev_per_atom": 726,
  "de_polymorph_mev_per_atom": 144,
  "e_tot_ev_per_atom": -4.995
}



4.
{
  "formula": "Be2ReSb2",
  "functional": "PBE-GGA",
  "state": "optimized geometry",
  "lattice_angstrom": [[-2.021, 2.021, 5.443], [2.021, -2.021, 5.443], [2.021, 2.021, -5.443]],
  "species": ["Be", "Be", "Re", "Sb", "Sb"],
  "fractional_positions": [[0.090, 0.090, 0.000], [0.910, 0.910, 0.000], [0.500, 0.500, 0.000], [0.250, 0.750, 0.500], [0.750, 0.250, 0.500]],
  "formation_energy_uncorrected_mev_per_atom": 1348,
  "de_polymorph_mev_per_atom": 764,
  "e_tot_ev_per_atom": -4.281
}



5.
{
  "formula": "Hf2CuSb4",
  "functional": "PBE-GGA",
  "state": "optimized geometry",
  "lattice_angstrom": [[7.304, -1.944, 0.000], [7.304, 1.944, 0.000], [-2.899, 0.000, 5.899]],
  "species": ["Hf", "Hf", "Cu", "Sb", "Sb", "Sb", "Sb"],
  "fractional_positions": [[0.245, 0.245, 0.255], [0.755, 0.755, 0.745], [0.000, 0.000, 0.000], [0.103, 0.103, 0.458], [0.390, 0.390, 0.069], [0.610, 0.610, 0.931], [0.897, 0.897, 0.542]],
  "formation_energy_uncorrected_mev_per_atom": -182,
  "e_tot_ev_per_atom": -5.967
}



6.
{
  "formula": "Zn2CrTc",
  "functional": "PBE-GGA",
  "state": "optimized geometry",
  "lattice_angstrom": [[1.481, -2.173, 0.000], [1.481, 2.173, 0.000], [0.000, 0.000, 8.675]],
  "species": ["Zn", "Zn", "Cr", "Tc"],
  "fractional_positions": [[0.000, 0.000, 0.000], [0.500, 0.500, 0.263], [0.500, 0.500, 0.753], [0.000, 0.000, 0.525]],
  "de_polymorph_mev_per_atom": 90,
  "formation_energy_ev_per_atom": 0.1295,
  "e_tot_ev_per_atom": -5.505
}



7.
{
  "formula": "La3SmCu2",
  "functional": "PBE-GGA",
  "state": "optimized geometry",
  "lattice_angstrom": [[5.083, 0.000, 0.000], [0.000, 9.156, 0.000], [0.000, 0.000, 7.176]],
  "species": ["La", "La", "La", "La", "La", "La", "Sm", "Sm", "Cu", "Cu", "Cu", "Cu"],
  "fractional_positions": [[0.000, 0.080, 0.000], [0.000, 0.343, 0.357], [0.000, 0.657, 0.857], [0.000, 0.920, 0.500], [0.500, 0.159, 0.645], [0.500, 0.841, 0.145], [0.500, 0.425, 0.008], [0.500, 0.575, 0.508], [0.000, 0.349, 0.769], [0.000, 0.651, 0.269], [0.500, 0.159, 0.236], [0.500, 0.841, 0.736]],
  "formation_energy_ev_per_atom": -0.1066,
  "e_tot_ev_per_atom": -4.722
}



8.
{
  "formula": "LaCoTe2",
  "functional": "PBE-GGA",
  "state": "optimized geometry",
  "lattice_angstrom": [[2.191, 1.265, 6.516], [-2.191, 1.265, 6.516], [0.000, -2.530, 6.516]],
  "species": ["La", "Co", "Te", "Te"],
  "fractional_positions": [[0.000, 0.000, 0.000], [0.500, 0.500, 0.500], [0.233, 0.233, 0.233], [0.767, 0.767, 0.767]],
  "formation_energy_uncorrected_mev_per_atom": -658,
  "e_tot_ev_per_atom": -5.237
}